! Hf6BAs2, relaxed, DFT PBE-GGA; values from VASP
&SYSTEM
  ibrav = 0, nat = 9, ntyp = 3
/
ATOMIC_SPECIES
Hf 178.49 Hf.upf
B 10.81 B.upf
As 74.92 As.upf
ATOMIC_POSITIONS angstrom
Hf -0.863 1.495 0.000
Hf -2.155 3.733 1.801
Hf 1.726 0.000 0.000
Hf 1.459 2.527 1.801
Hf 4.311 0.000 1.801
Hf 2.751 4.766 0.000
B 0.000 0.000 1.801
As 0.000 4.174 0.000
As 3.614 2.087 0.000
CELL_PARAMETERS angstrom
7.229 0.000 0.000
-3.614 6.260 0.000
0.000 0.000 3.602
! - E_tot: -9.130 eV/atom
! - Space group: P-62m (189)